Entry from Alexandria via LeMat-Bulk: an optimized crystal structure of LiYGa3 (PBE-GGA).

SG	Cmcm (63)
E_tot	-3.9466	eV/atom
energy relative to the lowest polymorph listed for this composition	0.0	meV per atom
DFT formation energy	-0.455	eV/atom
magnetic moment	0.00	μB per formula unit

Unit cell a=13.1514 b=13.1514 c=4.3477 alpha=90.00 beta=90.00 gamma=164.72
Fractional coordinates of all 10 atoms:
Li: 0.2136 0.7864 0.7500
Li: 0.7864 0.2136 0.2500
Y: 0.0747 0.9253 0.2500
Y: 0.9253 0.0747 0.7500
Ga: 0.3181 0.6819 0.7500
Ga: 0.3727 0.6273 0.2500
Ga: 0.4741 0.5259 0.2500
Ga: 0.5259 0.4741 0.7500
Ga: 0.6273 0.3727 0.7500
Ga: 0.6819 0.3181 0.2500